No. 1
A geometry-optimized CdSnSbF2 structure, computed with PBE-GGA.

Properties
The symmetry is P4/mmm, No. 123.

```
data_CdSnSbF2
_symmetry_space_group_name_H-M 'P 1'
_symmetry_Int_Tables_number 1
_cell_length_a 4.409
_cell_length_b 4.409
_cell_length_c 6.041
_cell_angle_alpha 90.00
_cell_angle_beta 90.00
_cell_angle_gamma 90.00
loop_
_symmetry_equiv_pos_as_xyz
'x,y,z'
loop_
_atom_site_label
_atom_site_type_symbol
_atom_site_fract_x
_atom_site_fract_y
_atom_site_fract_z
Cd1 Cd 0.000 0.000 0.000
Sn1 Sn 0.500 0.500 0.500
Sb1 Sb 0.500 0.500 0.000
F1 F 0.000 0.500 0.500
F2 F 0.500 0.000 0.500
```

***

No. 2
A geometry-optimized Sr2CdSbF structure, computed with PBE-GGA.

Properties
The symmetry is P4/mmm, No. 123.

```
data_Sr2CdSbF
_symmetry_space_group_name_H-M 'P 1'
_symmetry_Int_Tables_number 1
_cell_length_a 6.203
_cell_length_b 6.203
_cell_length_c 4.539
_cell_angle_alpha 90.00
_cell_angle_beta 90.00
_cell_angle_gamma 90.00
loop_
_symmetry_equiv_pos_as_xyz
'x,y,z'
loop_
_atom_site_label
_atom_site_type_symbol
_atom_site_fract_x
_atom_site_fract_y
_atom_site_fract_z
Sr1 Sr 0.000 0.500 0.000
Sr2 Sr 0.500 0.000 0.000
Cd1 Cd 0.000 0.000 0.000
Sb1 Sb 0.500 0.500 0.500
F1 F 0.000 0.000 0.500
```

***

No. 3
A geometry-optimized SrCdSbF2 structure, computed with PBE-GGA.

Properties
The symmetry is P4/mmm, No. 123.

```
data_SrCdSbF2
_symmetry_space_group_name_H-M 'P 1'
_symmetry_Int_Tables_number 1
_cell_length_a 4.730
_cell_length_b 4.730
_cell_length_c 5.718
_cell_angle_alpha 90.00
_cell_angle_beta 90.00
_cell_angle_gamma 90.00
loop_
_symmetry_equiv_pos_as_xyz
'x,y,z'
loop_
_atom_site_label
_atom_site_type_symbol
_atom_site_fract_x
_atom_site_fract_y
_atom_site_fract_z
Sr1 Sr 0.000 0.000 0.000
Cd1 Cd 0.500 0.500 0.000
Sb1 Sb 0.500 0.500 0.500
F1 F 0.000 0.500 0.500
F2 F 0.500 0.000 0.500
```

***

No. 4
A geometry-optimized SrCdSbF structure, computed with PBE-GGA.

Properties
The symmetry is P4/nmm, No. 129.

```
data_SrCdSbF
_symmetry_space_group_name_H-M 'P 1'
_symmetry_Int_Tables_number 1
_cell_length_a 4.506
_cell_length_b 4.506
_cell_length_c 9.623
_cell_angle_alpha 90.00
_cell_angle_beta 90.00
_cell_angle_gamma 90.00
loop_
_symmetry_equiv_pos_as_xyz
'x,y,z'
loop_
_atom_site_label
_atom_site_type_symbol
_atom_site_fract_x
_atom_site_fract_y
_atom_site_fract_z
Sr1 Sr 0.250 0.250 0.130
Sr2 Sr 0.750 0.750 0.870
Cd1 Cd 0.250 0.750 0.500
Cd2 Cd 0.750 0.250 0.500
Sb1 Sb 0.250 0.250 0.698
Sb2 Sb 0.750 0.750 0.302
F1 F 0.250 0.750 0.000
F2 F 0.750 0.250 0.000
```

***

No. 5
A geometry-optimized Tl2CdSbF6 structure, computed with PBE-GGA.

Properties
The symmetry is Immm, No. 71.

```
data_Tl2CdSbF6
_symmetry_space_group_name_H-M 'P 1'
_symmetry_Int_Tables_number 1
_cell_length_a 6.537
_cell_length_b 6.537
_cell_length_c 6.537
_cell_angle_alpha 120.13
_cell_angle_beta 119.87
_cell_angle_gamma 90.00
loop_
_symmetry_equiv_pos_as_xyz
'x,y,z'
loop_
_atom_site_label
_atom_site_type_symbol
_atom_site_fract_x
_atom_site_fract_y
_atom_site_fract_z
Tl1 Tl 0.248 0.248 0.000
Tl2 Tl 0.752 0.752 0.000
Cd1 Cd 0.000 0.500 0.500
Sb1 Sb 0.500 0.000 0.500
F1 F 0.259 0.240 0.499
F2 F 0.259 0.760 0.019
F3 F 0.260 0.760 0.500
F4 F 0.740 0.240 0.500
F5 F 0.741 0.240 0.981
F6 F 0.741 0.760 0.501
```

***

No. 6
A geometry-optimized TlCdSbF6 structure, computed with PBE-GGA.

Properties
The symmetry is P1, No. 1.

```
data_TlCdSbF6
_symmetry_space_group_name_H-M 'P 1'
_symmetry_Int_Tables_number 1
_cell_length_a 5.279
_cell_length_b 6.185
_cell_length_c 6.200
_cell_angle_alpha 60.16
_cell_angle_beta 89.86
_cell_angle_gamma 89.75
loop_
_symmetry_equiv_pos_as_xyz
'x,y,z'
loop_
_atom_site_label
_atom_site_type_symbol
_atom_site_fract_x
_atom_site_fract_y
_atom_site_fract_z
Tl1 Tl 0.000 0.000 0.000
Cd1 Cd 0.532 0.333 0.333
Sb1 Sb 0.478 0.666 0.667
F1 F 0.331 0.027 0.659
F2 F 0.333 0.312 0.027
F3 F 0.334 0.662 0.312
F4 F 0.730 0.437 0.608
F5 F 0.730 0.608 0.953
F6 F 0.730 0.951 0.440
```

***

No. 7
A geometry-optimized ScCd3F structure, computed with PBE-GGA.

Properties
The energy above the most stable polymorph in this dataset comes out at 654 meV/atom. The symmetry is Pm-3m, No. 221.

```
data_ScCd3F
_symmetry_space_group_name_H-M 'P 1'
_symmetry_Int_Tables_number 1
_cell_length_a 5.832
_cell_length_b 5.832
_cell_length_c 5.832
_cell_angle_alpha 90.00
_cell_angle_beta 90.00
_cell_angle_gamma 90.00
loop_
_symmetry_equiv_pos_as_xyz
'x,y,z'
loop_
_atom_site_label
_atom_site_type_symbol
_atom_site_fract_x
_atom_site_fract_y
_atom_site_fract_z
Sc1 Sc 0.000 0.000 0.000
Cd1 Cd 0.000 0.000 0.500
Cd2 Cd 0.000 0.500 0.000
Cd3 Cd 0.500 0.000 0.000
F1 F 0.500 0.500 0.500
```

***

No. 8
A geometry-optimized ScCd2F structure, computed with PBE-GGA.

Properties
The energy above the most stable polymorph in this dataset comes out at 0 meV/atom. The symmetry is I-42d, No. 122.

```
data_ScCd2F
_symmetry_space_group_name_H-M 'P 1'
_symmetry_Int_Tables_number 1
_cell_length_a 7.198
_cell_length_b 7.198
_cell_length_c 7.198
_cell_angle_alpha 94.56
_cell_angle_beta 94.56
_cell_angle_gamma 147.25
loop_
_symmetry_equiv_pos_as_xyz
'x,y,z'
loop_
_atom_site_label
_atom_site_type_symbol
_atom_site_fract_x
_atom_site_fract_y
_atom_site_fract_z
Sc1 Sc 0.000 0.000 0.000
Sc2 Sc 0.750 0.250 0.500
Cd1 Cd 0.228 0.625 0.103
Cd2 Cd 0.375 0.478 0.603
Cd3 Cd 0.522 0.125 0.897
Cd4 Cd 0.875 0.772 0.397
F1 F 0.250 0.750 0.500
F2 F 0.500 0.500 0.000
```

***

No. 9
A geometry-optimized ScCdF3 structure, computed with PBE-GGA.

Properties
The energy above the most stable polymorph in this dataset comes out at 0 meV/atom. The symmetry is Pm-3m, No. 221.

```
data_ScCdF3
_symmetry_space_group_name_H-M 'P 1'
_symmetry_Int_Tables_number 1
_cell_length_a 4.265
_cell_length_b 4.265
_cell_length_c 4.265
_cell_angle_alpha 90.00
_cell_angle_beta 90.00
_cell_angle_gamma 90.00
loop_
_symmetry_equiv_pos_as_xyz
'x,y,z'
loop_
_atom_site_label
_atom_site_type_symbol
_atom_site_fract_x
_atom_site_fract_y
_atom_site_fract_z
Sc1 Sc 0.000 0.000 0.000
Cd1 Cd 0.500 0.500 0.500
F1 F 0.000 0.000 0.500
F2 F 0.000 0.500 0.000
F3 F 0.500 0.000 0.000
```

***

No. 10
A geometry-optimized ScCd2F8 structure, computed with PBE-GGA.

Properties
The symmetry is C2/m, No. 12.

```
data_ScCd2F8
_symmetry_space_group_name_H-M 'P 1'
_symmetry_Int_Tables_number 1
_cell_length_a 6.076
_cell_length_b 6.076
_cell_length_c 7.943
_cell_angle_alpha 103.72
_cell_angle_beta 103.72
_cell_angle_gamma 35.73
loop_
_symmetry_equiv_pos_as_xyz
'x,y,z'
loop_
_atom_site_label
_atom_site_type_symbol
_atom_site_fract_x
_atom_site_fract_y
_atom_site_fract_z
Sc1 Sc 0.000 0.000 0.000
Cd1 Cd 0.239 0.239 0.697
Cd2 Cd 0.761 0.761 0.303
F1 F 0.078 0.078 0.797
F2 F 0.191 0.191 0.129
F3 F 0.327 0.327 0.467
F4 F 0.443 0.443 0.854
F5 F 0.557 0.557 0.146
F6 F 0.673 0.673 0.533
F7 F 0.809 0.809 0.871
F8 F 0.922 0.922 0.203
```

***

No. 11
A geometry-optimized ScCdF5 structure, computed with PBE-GGA.

Properties
The symmetry is C2/c, No. 15.

```
data_ScCdF5
_symmetry_space_group_name_H-M 'P 1'
_symmetry_Int_Tables_number 1
_cell_length_a 5.695
_cell_length_b 5.695
_cell_length_c 7.928
_cell_angle_alpha 110.35
_cell_angle_beta 110.35
_cell_angle_gamma 72.29
loop_
_symmetry_equiv_pos_as_xyz
'x,y,z'
loop_
_atom_site_label
_atom_site_type_symbol
_atom_site_fract_x
_atom_site_fract_y
_atom_site_fract_z
Sc1 Sc 0.000 0.000 0.000
Sc2 Sc 0.000 0.000 0.500
Cd1 Cd 0.465 0.535 0.750
Cd2 Cd 0.535 0.465 0.250
F1 F 0.082 0.918 0.750
F2 F 0.209 0.270 0.625
F3 F 0.270 0.209 0.125
F4 F 0.283 0.684 0.029
F5 F 0.316 0.717 0.471
F6 F 0.684 0.283 0.529
F7 F 0.717 0.316 0.971
F8 F 0.730 0.791 0.875
F9 F 0.791 0.730 0.375
F10 F 0.918 0.082 0.250
```

***

No. 12
A geometry-optimized ScCd3F structure, computed with PBE-GGA.

Properties
The energy above the most stable polymorph in this dataset comes out at 0 meV/atom. The symmetry is Pm-3m, No. 221.

```
data_ScCd3F
_symmetry_space_group_name_H-M 'P 1'
_symmetry_Int_Tables_number 1
_cell_length_a 4.808
_cell_length_b 4.808
_cell_length_c 4.808
_cell_angle_alpha 90.00
_cell_angle_beta 90.00
_cell_angle_gamma 90.00
loop_
_symmetry_equiv_pos_as_xyz
'x,y,z'
loop_
_atom_site_label
_atom_site_type_symbol
_atom_site_fract_x
_atom_site_fract_y
_atom_site_fract_z
Sc1 Sc 0.000 0.000 0.000
Cd1 Cd 0.000 0.500 0.500
Cd2 Cd 0.500 0.000 0.500
Cd3 Cd 0.500 0.500 0.000
F1 F 0.500 0.500 0.500
```

***

No. 13
A geometry-optimized ScCdF2 structure, computed with PBE-GGA.

Properties
The energy above the most stable polymorph in this dataset comes out at 694 meV/atom. The symmetry is Fm-3m, No. 225.

```
data_ScCdF2
_symmetry_space_group_name_H-M 'P 1'
_symmetry_Int_Tables_number 1
_cell_length_a 4.451
_cell_length_b 4.451
_cell_length_c 4.451
_cell_angle_alpha 60.00
_cell_angle_beta 60.00
_cell_angle_gamma 60.00
loop_
_symmetry_equiv_pos_as_xyz
'x,y,z'
loop_
_atom_site_label
_atom_site_type_symbol
_atom_site_fract_x
_atom_site_fract_y
_atom_site_fract_z
Sc1 Sc 0.000 0.000 0.000
Cd1 Cd 0.500 0.500 0.500
F1 F 0.250 0.250 0.250
F2 F 0.750 0.750 0.750
```

***

The following formation energy (no corrections) values (in eV/atom) correspond, in order, to the records above: -1.220, -0.765, -1.222, -1.766, -1.883, -2.172, 0.257, -0.889, -2.760, -2.521, -3.181, -0.397, -1.592.